A plane-wave DFT calculation with GGA+U was carried out for a geometry-optimized PaCoO4F structure.

The structure in extended XYZ format:
```
14
Lattice="4.7623 -3.5072 0.0000 4.7623 3.5072 0.0000 -2.1864 0.0000 6.5205" Properties=species:S:1:pos:R:3 pbc="T T T"
Pa 1.8537 0.0000 0.7898
Pa 5.4846 0.0000 5.7307
Co 1.7689 0.0000 4.6396
Co 5.5694 0.0000 1.8809
O 0.9328 1.3456 5.5405
O 1.4617 0.0000 2.9243
O 3.8486 0.0000 1.4967
O 0.9328 -1.3456 5.5405
O 6.4055 1.3456 0.9800
O 3.4896 0.0000 5.0238
O 5.8765 0.0000 3.5962
O 6.4055 -1.3456 0.9800
F -1.6577 0.0000 5.4232
F 8.9960 0.0000 1.0973
```

* electronic total energy: -7.483 eV/atom
* total moment: 10.0 μB per cell